No. 1
{"formula": "KCuSe2", "functional": "PBE-GGA", "state": "relaxed", "cell": [[7.1516, 0.0000, 0.0000], [0.0000, 7.1516, 0.0000], [0.0000, 0.0000, 7.1516]], "species": ["K", "K", "K", "K", "Cu", "Cu", "Cu", "Cu", "Se", "Se", "Se", "Se", "Se", "Se", "Se", "Se"], "frac_coords": [[0.0000, 0.0000, 0.0000], [0.0000, 0.5000, 0.5000], [0.5000, 0.0000, 0.5000], [0.5000, 0.5000, 0.0000], [0.2500, 0.2500, 0.7500], [0.2500, 0.7500, 0.2500], [0.7500, 0.2500, 0.2500], [0.7500, 0.7500, 0.7500], [0.0000, 0.0000, 0.5000], [0.0000, 0.5000, 0.0000], [0.2500, 0.2500, 0.2500], [0.2500, 0.7500, 0.7500], [0.5000, 0.0000, 0.0000], [0.5000, 0.5000, 0.5000], [0.7500, 0.2500, 0.7500], [0.7500, 0.7500, 0.2500]], "e_tot_ev_per_atom": -2.77}

No. 2
{"formula": "Na3Np2PaS6", "functional": "PBE-GGA", "state": "relaxed", "cell": [[3.4529, -5.9803, 0.0000], [3.4529, 5.9803, 0.0000], [-2.3012, 0.0000, 6.7236]], "species": ["Na", "Na", "Na", "Np", "Np", "Pa", "S", "S", "S", "S", "S", "S"], "frac_coords": [[0.0000, 0.0000, 0.0000], [0.3324, 0.6676, 0.0000], [0.6676, 0.3324, 0.0000], [0.1667, 0.8333, 0.5000], [0.8333, 0.1667, 0.5000], [0.5000, 0.5000, 0.5000], [0.0944, 0.4232, 0.2695], [0.2479, 0.2479, 0.7300], [0.4232, 0.0944, 0.2695], [0.5768, 0.9056, 0.7305], [0.7521, 0.7521, 0.2700], [0.9056, 0.5768, 0.7305]], "e_tot_ev_per_atom": -6.75}